VASP calculation (PBE) on crystalline Sr3LiCu2O6 at its relaxed geometry.

The value obtained for the mass density is 4.4 g/cm3. As for the total energy: -5.316 eV/atom. As for the uncorrected formation energy: -1574 meV per atom.

```
data_Sr3LiCu2O6
_cell_length_a 5.7784
_cell_length_b 5.7784
_cell_length_c 6.4191
_cell_angle_alpha 90.00
_cell_angle_beta 90.00
_cell_angle_gamma 120.00
_symmetry_space_group_name_H-M 'P 1'
_symmetry_Int_Tables_number 1
loop_
_symmetry_equiv_pos_as_xyz
'x,y,z'
loop_
_atom_site_label
_atom_site_type_symbol
_atom_site_fract_x
_atom_site_fract_y
_atom_site_fract_z
_atom_site_occupancy
Sr1 Sr 0.0000 0.0000 0.0000 1
O1 O 0.1642 0.3284 0.2923 1
Cu1 Cu 0.6667 0.3333 0.8121 1
Sr2 Sr 0.6667 0.3333 0.3637 1
O2 O 0.3284 0.1642 0.7077 1
O3 O 0.8358 0.6716 0.7077 1
O4 O 0.6716 0.8358 0.2923 1
Cu2 Cu 0.3333 0.6667 0.1879 1
Li1 Li 0.0000 0.0000 0.5000 1
O5 O 0.8358 0.1642 0.7077 1
Sr3 Sr 0.3333 0.6667 0.6363 1
O6 O 0.1642 0.8358 0.2923 1
```


VASP calculation (PBE) on crystalline ScTaFeSi2 at its relaxed geometry.

The value obtained for the mass density is 5.3 g/cm3. As for the total energy: -6.853 eV/atom. As for the uncorrected formation energy: 646 meV per atom.

```
data_ScTaFeSi2
_cell_length_a 4.7785
_cell_length_b 4.6323
_cell_length_c 4.7785
_cell_angle_alpha 90.00
_cell_angle_beta 90.00
_cell_angle_gamma 90.00
_symmetry_space_group_name_H-M 'P 1'
_symmetry_Int_Tables_number 1
loop_
_symmetry_equiv_pos_as_xyz
'x,y,z'
loop_
_atom_site_label
_atom_site_type_symbol
_atom_site_fract_x
_atom_site_fract_y
_atom_site_fract_z
_atom_site_occupancy
Ta1 Ta 0.0000 0.0000 0.0000 1
Si1 Si 0.0000 0.0000 0.5000 1
Fe1 Fe 0.0000 0.5000 0.0000 1
Si2 Si 0.5000 0.0000 0.0000 1
Sc1 Sc 0.5000 0.5000 0.5000 1
```


VASP calculation (PBE) on crystalline Hf7HgBi2H2 at its relaxed geometry.

The value obtained for the mass density is 13.6 g/cm3. As for the total energy: -7.193 eV/atom.

```
data_Hf7HgBi2H2
_cell_length_a 4.3243
_cell_length_b 4.3243
_cell_length_c 12.8422
_cell_angle_alpha 77.64
_cell_angle_beta 77.64
_cell_angle_gamma 89.90
_symmetry_space_group_name_H-M 'P 1'
_symmetry_Int_Tables_number 1
loop_
_symmetry_equiv_pos_as_xyz
'x,y,z'
loop_
_atom_site_label
_atom_site_type_symbol
_atom_site_fract_x
_atom_site_fract_y
_atom_site_fract_z
_atom_site_occupancy
Hf1 Hf 0.2441 0.2441 0.3962 1
Hf2 Hf 0.7559 0.7559 0.6038 1
H1 H 0.6056 0.6056 0.8309 1
Hf3 Hf 0.6173 0.1156 0.8148 1
Hf4 Hf 0.1156 0.6173 0.8148 1
Hf5 Hf 0.8844 0.3827 0.1852 1
Hg1 Hg 0.0000 0.0000 0.0000 1
Bi1 Bi 0.7675 0.7675 0.3690 1
Hf6 Hf 0.3827 0.8844 0.1852 1
H2 H 0.3944 0.3944 0.1691 1
Bi2 Bi 0.2325 0.2325 0.6310 1
Hf7 Hf 0.5000 0.5000 0.0000 1
```


VASP calculation (PBE) on crystalline LaHgMo2 at its relaxed geometry.

The value obtained for the mass density is 10.1 g/cm3. As for the total energy: -6.295 eV/atom. As for the formation enthalpy at 0 K: 0.43 eV/atom.

```
data_LaHgMo2
_cell_length_a 5.8754
_cell_length_b 5.8754
_cell_length_c 5.8754
_cell_angle_alpha 145.85
_cell_angle_beta 129.19
_cell_angle_gamma 62.65
_symmetry_space_group_name_H-M 'P 1'
_symmetry_Int_Tables_number 1
loop_
_symmetry_equiv_pos_as_xyz
'x,y,z'
loop_
_atom_site_label
_atom_site_type_symbol
_atom_site_fract_x
_atom_site_fract_y
_atom_site_fract_z
_atom_site_occupancy
Mo1 Mo 0.7879 0.2879 0.5000 1
Hg1 Hg 0.5165 0.5165 0.0000 1
La1 La 0.2309 0.7309 0.5000 1
Mo2 Mo 0.9647 0.9647 0.0000 1
```


- Which formula does entry 4 have?
  LaHgMo2